## K2W4O13 (meta-GGA SCAN)

Data for K2W4O13 at its PBEsol-relaxed geometry.

Summary:
E_form (uncorrected) (meV/atom): -2307
Total energy (eV for the cell shown): -1260.72

Unit cell a=3.8616 b=15.6909 c=15.7327 alpha=119.89 beta=90.07 gamma=90.04
Last column: nearest neighbours and their distance in Å.
Space group P1 (No. 1)
Asymmetric unit:
K  0.0000  0.0000  0.0000 (multiplicity 1)  6 O 2.75-3.02
K  0.0002  0.1328  0.3258 (multiplicity 1)  6 O 2.73-3.05
K  0.9442  0.6250  0.6292 (multiplicity 1)  3 O 2.66-2.88
K  0.9500  0.5261  0.3348 (multiplicity 1)  6 O 2.71-3.03
K  0.9761  0.2762  0.7993 (multiplicity 1)  5 O 2.89-3.14
K  0.9991  0.8103  0.1339 (multiplicity 1)  6 O 2.73-3.01
W  0.4250  0.4047  0.0912 (multiplicity 1)  4 O 1.80-1.92
W  0.4265  0.0419  0.6386 (multiplicity 1)  4 O 1.79-1.91
W  0.4274  0.4957  0.7329 (multiplicity 1)  4 O 1.81-1.97
W  0.4298  0.8625  0.7310 (multiplicity 1)  4 O 1.75-1.92
W  0.4337  0.4022  0.4581 (multiplicity 1)  4 O 1.77-1.91
W  0.4377  0.6796  0.2745 (multiplicity 1)  4 O 1.74-1.94
W  0.5109  0.7688  0.9130 (multiplicity 1)  4 O 1.77-1.91
W  0.5120  0.2235  0.1823 (multiplicity 1)  4 O 1.77-1.92
W  0.5149  0.1383  0.9090 (multiplicity 1)  5 O 1.81-2.00
W  0.5156  0.9540  0.3681 (multiplicity 1)  4 O 1.77-1.91
W  0.5190  0.5802  0.9990 (multiplicity 1)  5 O 1.81-2.02
W  0.5197  0.2267  0.5573 (multiplicity 1)  5 O 1.81-1.99
O  0.4548  0.7441  0.6291 (multiplicity 1)  1 W 1.75
O  0.4636  0.6764  0.3835 (multiplicity 1)  1 W 1.74
O  0.4641  0.9683  0.5086 (multiplicity 1)  1 W 1.79
O  0.4649  0.5109  0.4505 (multiplicity 1)  1 W 1.77
O  0.4682  0.3535  0.1721 (multiplicity 1)  1 W 1.82
O  0.4680  0.4701  0.5976 (multiplicity 1)  2 W 1.91-1.97
O  0.4689  0.2847  0.9745 (multiplicity 1)  2 W 1.87-2.00
O  0.4693  0.5378  0.1969 (multiplicity 1)  2 W 1.92-1.94
O  0.4688  0.9381  0.6676 (multiplicity 1)  2 W 1.90
O  0.4696  0.5007  0.8519 (multiplicity 1)  2 W 1.84-2.02
O  0.4705  0.6277  0.7812 (multiplicity 1)  1 W 1.82
O  0.4722  0.3119  0.3211 (multiplicity 1)  2 W 1.91-1.92
O  0.4725  0.0067  0.8615 (multiplicity 1)  1 W 1.82
O  0.4733  0.1340  0.7901 (multiplicity 1)  1 W 1.85
O  0.4735  0.1632  0.6391 (multiplicity 1)  2 W 1.91-1.99
O  0.4730  0.8205  0.8262 (multiplicity 1)  2 W 1.91-1.92
O  0.4754  0.8163  0.3211 (multiplicity 1)  2 W 1.90-1.91
O  0.4756  0.4667  0.0046 (multiplicity 1)  2 W 1.83-2.04
O  0.4767  0.1593  0.0441 (multiplicity 1)  2 W 1.89-1.99
O  0.4767  0.2755  0.4731 (multiplicity 1)  1 W 1.84
O  0.4775  0.3476  0.6699 (multiplicity 1)  2 W 1.85-2.03
O  0.4775  0.6654  0.1299 (multiplicity 1)  1 W 1.82
O  0.4785  0.6935  0.9759 (multiplicity 1)  2 W 1.89-1.99
O  0.4800  0.0933  0.4426 (multiplicity 1)  2 W 1.90-1.97
O  0.4804  0.9458  0.2520 (multiplicity 1)  1 W 1.77
O  0.4806  0.1153  0.1906 (multiplicity 1)  1 W 1.77
O  0.4846  0.8842  0.0220 (multiplicity 1)  1 W 1.77
O  0.9588  0.4107  0.0894 (multiplicity 1)  1 W 1.80
O  0.9589  0.8744  0.7442 (multiplicity 1)  1 W 1.83
O  0.9601  0.0493  0.6508 (multiplicity 1)  1 W 1.81
O  0.9604  0.4878  0.7242 (multiplicity 1)  1 W 1.81
O  0.9614  0.3921  0.4577 (multiplicity 1)  2 W 1.83-2.04
O  0.9637  0.6781  0.2609 (multiplicity 1)  2 W 1.84-2.04
O  0.9834  0.1460  0.9175 (multiplicity 1)  1 W 1.81
O  0.9841  0.2342  0.1842 (multiplicity 1)  2 W 1.83-2.04
O  0.9851  0.7593  0.9016 (multiplicity 1)  2 W 1.84-2.04
O  0.9862  0.5817  0.9910 (multiplicity 1)  1 W 1.81
O  0.9862  0.9536  0.3767 (multiplicity 1)  1 W 1.82
O  0.9873  0.2192  0.5564 (multiplicity 1)  1 W 1.81